Sr4GeH GGA-PBE optimized geometry; Fermi-level density of states = 10.6 states/eV/cell; total magnetic moment = 0.0 μB/cell; energy = -2.67 eV per atom
1.0
7.4562 0.0000 0.0029
-0.0007 7.9549 0.6565
-3.7253 -2.4424 6.9489
Sr Ge H
8 2 2
direct
0.1909 0.6089 0.2732
0.8091 0.3911 0.7268
0.6794 0.4773 0.2278
0.0821 0.1088 0.2732
0.5482 0.9774 0.2277
0.3206 0.5227 0.7722
0.9179 0.8912 0.7268
0.4518 0.0226 0.7723
0.7647 0.7501 0.0005
0.2353 0.2499 0.9995
0.5000 0.0000 0.5000
0.0000 0.5000 0.5000

---

SiSN2F GGA-PBE optimized geometry; Fermi-level density of states = 3.1 states/eV/cell; total magnetic moment = 0.0 μB/cell; energy = -5.04 eV per atom; formation energy without anion corrections = 0.571 eV/atom; distance to the lowest polymorph of the same formula = 320 meV per atom
1.0
-3.1389 1.1964 0.5284
-1.0923 -3.1536 0.6520
1.1232 0.6747 5.1447
N F Si S
2 1 1 1
direct
0.5000 0.0000 0.0000
0.0000 0.5000 0.0000
0.5000 0.5000 0.5000
0.0000 0.0000 0.0000
0.0000 0.0000 0.5000

---

Rb4Ac3PaSe8 GGA-PBE optimized geometry; Fermi-level density of states = 8.0 states/eV/cell; total magnetic moment = 1.9 μB/cell; energy = -5.00 eV per atom; formation energy without anion corrections = -1.649 eV/atom
1.0
9.0574 0.0000 0.0000
0.0000 9.5975 0.3729
-4.5287 -4.5261 6.4056
Ac Rb Se Pa
3 4 8 1
direct
0.5000 0.5000 0.0000
0.0000 0.5000 0.5000
0.5000 0.5000 0.5000
0.0000 0.0000 0.5000
0.5000 0.0000 0.0000
0.5000 0.0000 0.5000
0.0000 0.0000 0.0000
0.7376 0.7125 0.4752
0.7741 0.2966 0.0222
0.2259 0.7034 0.9778
0.2259 0.7035 0.4519
0.2481 0.2966 0.0222
0.2624 0.2875 0.5248
0.7741 0.2965 0.5481
0.7519 0.7034 0.9778
0.0000 0.5000 0.0000

---

Pr2B10Ir GGA-PBE optimized geometry; Fermi-level density of states = 3.2 states/eV/cell; total magnetic moment = 0.0 μB/cell; energy relative to the elements = -0.555 eV per atom; energy = -7.11 eV per atom
1.0
-3.2273 2.4596 1.2191
-2.9810 -4.6865 1.5637
4.4958 0.6643 10.5613
B Pr Ir
20 4 2
direct
0.7000 0.2825 0.6183
0.3000 0.2825 0.6183
0.0000 0.3609 0.1969
0.0000 0.6195 0.9568
0.7000 0.7175 0.3817
0.0000 0.1391 0.6969
0.0000 0.8805 0.4568
0.0000 0.4450 0.6928
0.0000 0.9450 0.8072
0.3000 0.7825 0.8817
0.0000 0.8609 0.3031
0.0000 0.5550 0.3072
0.3000 0.2175 0.1183
0.0000 0.6391 0.8031
0.0000 0.0550 0.1928
0.7000 0.2175 0.1183
0.0000 0.3805 0.0432
0.3000 0.7175 0.3817
0.0000 0.1195 0.5432
0.7000 0.7825 0.8817
0.5000 0.2058 0.3657
0.5000 0.7942 0.6343
0.5000 0.7058 0.1343
0.5000 0.2942 0.8657
0.0000 0.5000 0.5000
0.0000 0.0000 0.0000

---

| no. | density (g/cm³) |
| --- | --- |
| 1 | 3.3 |
| 2 | 2.9 |
| 3 | 5.5 |
| 4 | 6.9 |